DFT (PBE) results for SrLiAlHg2 after structural relaxation. Values from VASP.

Cell and atoms, written as Quantum ESPRESSO input:
```
&SYSTEM
  ibrav = 0, nat = 5, ntyp = 4
/
ATOMIC_SPECIES
Sr 87.62 Sr.upf
Li 6.94 Li.upf
Al 26.98 Al.upf
Hg 200.59 Hg.upf
ATOMIC_POSITIONS crystal
Sr 0.000 0.000 0.000
Li 0.750 0.250 0.500
Al 0.250 0.750 0.500
Hg 0.373 0.373 0.000
Hg 0.627 0.627 0.000
CELL_PARAMETERS angstrom
-2.307 2.307 5.782
2.307 -2.307 5.782
2.307 2.307 -5.782
```

Values from the calculation:
ΔH_f (0 K) in meV/atom: -350.1
M_tot in μB/cell: 0.0